Record 1
This record from the Alexandria database describes a geometry-optimized ErMg11In structure. The functional is PBE.

Magnetization (μB per formula unit): 0.00
ρ (g/cm3): 3.0
Calculated total energy (Ha/atom): -0.071
Formation energy (kJ per mole of atoms): -3

```
ErMg11In
1.0
5.4493 -0.0252 2.2703
2.6352 7.1862 1.0979
-0.0543 -0.0126 7.8054
Er Mg In
1 11 1
Direct
0.0000 0.0000 0.0000
0.3454 0.6500 0.6493
0.4961 0.2097 0.7902
0.6546 0.3500 0.3507
0.7137 0.7903 0.7902
0.2863 0.2097 0.2098
0.0053 0.3500 0.6493
0.0000 0.0000 0.5000
0.5000 0.0000 0.5000
0.9947 0.6500 0.3507
0.5039 0.7903 0.2098
0.0000 0.5000 0.0000
0.5000 0.5000 0.0000
```

Record 2
This record from the Alexandria database describes a geometry-optimized Al2AgW structure. The functional is PBE.

Magnetization (μB per formula unit): 0.00
E above lowest polymorph (eV per atom): 0.114
ρ (g/cm3): 9.0
Calculated total energy (Ha/atom): -0.209
Formation energy (kJ per mole of atoms): 12

```
Al2AgW
1.0
5.5216 0.0020 -0.0038
2.8828 4.7092 0.0038
-3.6620 -3.3193 2.4616
W Al Ag
1 2 1
Direct
0.5057 0.5057 0.0000
0.0028 0.0028 0.0000
0.7459 0.2459 0.5000
0.2455 0.7455 0.5000
```

Record 3
This record from the Alexandria database describes a geometry-optimized Cu2Pt3 structure. The functional is PBE.

Magnetization (μB per formula unit): 0.00
E above lowest polymorph (eV per atom): 0.114
ρ (g/cm3): 16.3
Calculated total energy (Ha/atom): -0.195
Formation energy (kJ per mole of atoms): -5

```
Cu2Pt3
1.0
0.0000 4.6636 6.5501
2.3737 0.0000 6.5501
2.3737 4.6636 0.0000
Pt Cu
6 4
Direct
0.1677 0.3323 0.3323
0.9177 0.0823 0.0823
0.5175 0.7782 0.9022
0.4718 0.7325 0.4479
0.8021 0.9022 0.7782
0.3478 0.4479 0.7325
0.3561 0.5506 0.1867
0.0633 0.3433 0.8939
0.6994 0.8939 0.3433
0.9067 0.1867 0.5506
```

Record 4
This record from the Alexandria database describes a geometry-optimized Sc2AgHg structure. The functional is PBE.

Magnetization (μB per formula unit): 0.00
ρ (g/cm3): 7.9
Calculated total energy (Ha/atom): -0.158
Formation energy (kJ per mole of atoms): -34

```
Sc2AgHg
1.0
3.5027 0.0000 0.0000
0.0000 3.4324 -0.0002
0.0000 3.4219 6.9964
Sc Hg Ag
2 1 1
Direct
0.0000 0.9915 0.0086
0.0000 0.5085 0.4914
0.5000 0.7500 0.7500
0.5000 0.2500 0.2500
```

Record 5
This record from the Alexandria database describes a geometry-optimized Sc2MnSe structure. The functional is PBE.

Magnetization (μB per formula unit): 2.60
ρ (g/cm3): 5.0
Formation energy from raw total energies (meV/atom): -343
Calculated total energy (Ha/atom): -0.245

```
Sc2MnSe
1.0
-1.6474 4.2600 2.3327
-4.8546 0.8479 -1.4200
2.2901 -4.1922 1.8665
Sc Se Mn
2 1 1
Direct
0.5002 0.5002 0.0000
0.9998 0.9998 0.0000
0.7500 0.2500 0.5000
0.2500 0.7500 0.5000
```

Record 6
This record from the Alexandria database describes a geometry-optimized Pa3AlOs structure. The functional is PBE.

Magnetization (μB per formula unit): 0.00
ρ (g/cm3): 13.6
Calculated total energy (Ha/atom): -0.323
Formation energy (kJ per mole of atoms): -10

```
Pa3AlOs
1.0
-3.0164 5.4977 2.7414
-5.3857 -1.7318 -2.4529
-2.8479 -4.3027 9.2907
Pa Al Os
12 4 4
Direct
0.2897 0.5148 0.2911
0.4454 0.7628 0.5098
0.5546 0.2372 0.4902
0.8763 0.7703 0.4294
0.1237 0.2297 0.5706
0.5546 0.7628 0.9902
0.8763 0.2297 0.9294
0.7103 0.4852 0.7089
0.1237 0.7703 0.0706
0.4454 0.2372 0.0098
0.2897 0.4852 0.7911
0.7103 0.5148 0.2089
0.2815 0.0204 0.2898
0.7185 0.9796 0.7102
0.7185 0.0204 0.2102
0.2815 0.9796 0.7898
0.9229 0.7364 0.8720
0.0771 0.7364 0.6280
0.0771 0.2636 0.1280
0.9229 0.2636 0.3720
```

Record 7
This record from the Alexandria database describes a geometry-optimized Mg2Si structure. The functional is PBE.

Magnetization (μB per formula unit): 0.00
ρ (g/cm3): 2.1
Formation energy from raw total energies (meV/atom): -31
Calculated total energy (Ha/atom): -0.107

```
Mg2Si
1.0
4.1515 -0.0379 -0.0096
-2.0826 5.0322 0.0101
-2.0708 -0.9124 5.8545
Mg Si
4 2
Direct
0.7367 0.3207 0.6512
0.4035 0.2318 0.0756
0.5965 0.7682 0.9244
0.2633 0.6793 0.3488
0.9722 0.1137 0.3361
0.0278 0.8863 0.6639
```

Record 8
This record from the Alexandria database describes a geometry-optimized BaTaNi structure. The functional is PBE.

Magnetization (μB per formula unit): 0.00
E above lowest polymorph (eV per atom): 0.000
ρ (g/cm3): 8.6
Calculated total energy (Ha/atom): -0.223
Formation energy (kJ per mole of atoms): 42

```
BaTaNi
1.0
6.8040 0.0194 -0.0157
5.1112 4.4912 0.0157
-5.9527 -2.2683 2.3908
Ni Ta Ba
1 1 1
Direct
0.2851 0.2851 0.0000
0.7231 0.7231 0.0000
0.9918 0.9918 0.0000
```